Entry 1:
{"formula": "Dy7TmCd4", "functional": "PBE-GGA", "state": "optimized geometry", "lattice": [[7.332, -2.847, 0.000], [7.332, 2.847, 0.000], [-5.130, 0.000, 8.236]], "species": ["Dy", "Dy", "Dy", "Dy", "Dy", "Dy", "Dy", "Tm", "Cd", "Cd", "Cd", "Cd"], "frac_coords": [[0.000, 0.000, 0.000], [0.240, 0.240, 0.696], [0.294, 0.294, 0.119], [0.429, 0.429, 0.588], [0.571, 0.571, 0.412], [0.706, 0.706, 0.881], [0.760, 0.760, 0.304], [0.500, 0.500, 0.000], [0.042, 0.042, 0.711], [0.181, 0.181, 0.342], [0.819, 0.819, 0.658], [0.958, 0.958, 0.289]], "space_group": "C2/m, No. 12", "vol_a3_per_fu": 344, "delta_e_f_kcal_per_mol_atoms": 0.28, "mass_density_g_cm3": 8.482}

=====

Entry 2:
{"formula": "Si3PtI", "functional": "PBE-GGA", "state": "optimized geometry", "lattice": [[4.840, 0.000, 0.000], [0.000, 4.840, 0.000], [0.000, 0.000, 4.840]], "species": ["Si", "Si", "Si", "Pt", "I"], "frac_coords": [[0.000, 0.000, 0.500], [0.000, 0.500, 0.000], [0.500, 0.000, 0.000], [0.000, 0.000, 0.000], [0.500, 0.500, 0.500]], "space_group": "Pm-3m, No. 221", "vol_a3_per_fu": 113, "dft_energy_ev_per_fu": -21.5, "mass_density_g_cm3": 5.950}

=====

Question: Which formula does entry 1 have?
Answer: Dy7TmCd4